VASP calculation (PBE) on a relaxed U2SnSe6 crystal.

Summary:
The calculation puts the uncorrected formation energy at -53.57 kJ/mol of atoms. As for the crystal system: tetragonal. Its total energy is -5.832 eV per atom. As for the energy above the most stable polymorph in this dataset: 0.239 eV/atom. As for the density: 6.14 g/cm³.

abc: 5.1695 5.1695 21.6124
angles: 90.00 90.00 90.00
Last column: nearest neighbours and their distance in Å.
Space group I-42m (No. 121)
Unique sites:
U 0.0000 0.0000 0.1854  2 Se 2.59
Sn 0.0000 0.0000 0.5000  4 Se 2.84
Se 0.0000 0.5000 0.2500  4 U 2.94
Se 0.2455 0.2455 0.0993  1 U 2.59, 1 Sn 2.84

VASP calculation (PBE) on a relaxed U3SnSe6 crystal.

Summary:
The calculation puts the uncorrected formation energy at -91.11 kJ/mol of atoms. As for the crystal system: monoclinic. Its total energy is -6.822 eV per atom. As for the density: 7.70 g/cm³.

abc: 11.7993 4.1366 12.1425
angles: 90.00 108.01 90.00
Last column: nearest neighbours and their distance in Å.
Space group P2_1/m (No. 11)
Unique sites:
U 0.0538 0.2500 0.1650  6 Se 2.83-2.91
U 0.1751 0.7500 0.4885  7 Se 2.89-3.02
U 0.3485 0.2500 0.9174  6 Se 2.82-2.91
Sn 0.4885 0.2500 0.3248  4 Se 2.93-3.14
Se 0.0059 0.2500 0.3814  4 U 2.85-3.02
Se 0.1141 0.2500 0.9500  4 U 2.91
Se 0.2169 0.7500 0.2663  3 U 2.83-2.89
Se 0.2962 0.7500 0.7465  3 U 2.86-3.01, 1 Sn 2.93
Se 0.3688 0.2500 0.5225  3 Sn 2.94-3.14, 2 U 3.01
Se 0.4140 0.7500 0.0878  3 U 2.82-2.86

VASP calculation (PBE) on a relaxed U3Sn2Se8 crystal.

Summary:
The calculation puts the uncorrected formation energy at -83.87 kJ/mol of atoms. As for the crystal system: monoclinic. Its total energy is -6.234 eV per atom. As for the density: 6.25 g/cm³.

abc: 14.9408 8.3026 7.1194
angles: 90.00 107.62 90.00
Last column: nearest neighbours and their distance in Å.
Space group C2/m (No. 12)
Unique sites:
U 0.0000 0.0000 0.0000  6 Se 2.83-2.86
U 0.0000 0.2584 0.5000  6 Se 2.74-2.90
Sn 0.2359 0.0000 0.8172  3 Se 2.84-2.96
Se 0.1092 0.5000 0.4227  2 U 2.74
Se 0.1102 0.0000 0.4065  3 U 2.86-2.90, 1 Sn 2.96
Se 0.1146 0.2352 0.9003  2 U 2.83-2.85, 1 Sn 2.84

VASP calculation (PBE) on a relaxed U4SnSe7 crystal.

Summary:
The calculation puts the uncorrected formation energy at -89.34 kJ/mol of atoms. As for the crystal system: trigonal. Its total energy is -7.055 eV per atom. As for the density: 7.71 g/cm³.

abc: 4.0780 4.0780 24.2940
angles: 90.00 90.00 120.00
Last column: nearest neighbours and their distance in Å.
Space group P-3m1 (No. 164)
Unique sites:
U 0.3333 0.6667 0.1537  6 Se 2.82-2.97
U 0.3333 0.6667 0.4294  6 Se 2.83-2.91
Sn 0.0000 0.0000 0.0000  6 Se 3.04
Se 0.0000 0.0000 0.2172  3 U 2.82
Se 0.0000 0.0000 0.5000  6 U 2.91
Se 0.3333 0.6667 0.6350  3 U 2.83
Se 0.3333 0.6667 0.9210  3 U 2.97, 3 Sn 3.04

VASP calculation (PBE) on a relaxed U2Sn2Se7 crystal.

Summary:
The calculation puts the uncorrected formation energy at -71.23 kJ/mol of atoms. As for the crystal system: orthorhombic. Its total energy is -5.736 eV per atom. As for the density: 7.26 g/cm³.

abc: 4.0702 15.9229 8.9354
angles: 90.00 90.00 90.00
Last column: nearest neighbours and their distance in Å.
Space group Imm2 (No. 44)
Unique sites:
U 0.0000 0.0000 0.0000  7 Se 2.81-2.92
U 0.0000 0.5000 0.0476  8 Se 2.83-2.98
Sn 0.0000 0.2593 0.3088  3 Se 2.78-2.88
Se 0.0000 0.0000 0.3269  3 U 2.83-2.92
Se 0.0000 0.0944 0.7233  3 U 2.89-2.98, 1 Se 3.01, 2 Sn 3.19
Se 0.0000 0.3230 0.9616  2 Sn 2.78, 1 U 2.92
Se 0.0000 0.3812 0.5463  2 U 2.81, 1 Sn 2.88

VASP calculation (PBE) on a relaxed U2SnSe5 crystal.

Summary:
The calculation puts the uncorrected formation energy at -85.95 kJ/mol of atoms. As for the crystal system: orthorhombic. Its total energy is -6.391 eV per atom. As for the density: 8.30 g/cm³.

abc: 7.9896 12.4146 3.9901
angles: 90.00 90.00 90.00
Last column: nearest neighbours and their distance in Å.
Space group Pbam (No. 55)
Unique sites:
U 0.0207 0.1761 0.0000  8 Se 2.89-3.09
Sn 0.0000 0.5000 0.5000  6 Se 2.79-2.86
Se 0.0000 0.0000 0.5000  4 U 2.96
Se 0.1707 0.3880 0.0000  2 Sn 2.79, 2 U 2.89-2.91
Se 0.1863 0.6970 0.5000  1 Sn 2.86, 4 U 3.03-3.09

VASP calculation (PBE) on a relaxed U2Sn3Se8 crystal.

Summary:
The calculation puts the uncorrected formation energy at -62.02 kJ/mol of atoms. As for the crystal system: monoclinic. Its total energy is -5.447 eV per atom. As for the density: 6.17 g/cm³.

abc: 15.4600 7.6850 7.0631
angles: 90.00 110.04 90.00
Last column: nearest neighbours and their distance in Å.
Space group C2/m (No. 12)
Unique sites:
U 0.2491 0.0000 0.1704  6 Se 2.61-2.86
Sn 0.0000 0.2312 0.5000  6 Se 2.85-3.13
Sn 0.0000 0.5000 0.0000  6 Se 2.97-3.01
Se 0.1148 0.5000 0.4404  1 U 2.83, 3 Sn 2.85-3.01
Se 0.1309 0.2558 0.9145  2 U 2.84-2.86, 2 Sn 2.94-2.97
Se 0.1393 0.0000 0.3798  1 U 2.61

VASP calculation (PBE) on a relaxed V2SnSe crystal.

Summary:
The calculation puts the uncorrected formation energy at 23.73 kJ/mol of atoms. As for the crystal system: tetragonal. Its total energy is -6.185 eV per atom. As for the energy above the most stable polymorph in this dataset: 0.068 eV/atom. As for the density: 6.23 g/cm³.

abc: 7.1721 7.1721 6.2129
angles: 90.00 90.00 90.00
Last column: nearest neighbours and their distance in Å.
Space group I-42d (No. 122)
Unique sites:
V 0.1992 0.7500 0.1250  2 Se 2.42
Sn 0.0000 0.0000 0.5000  4 V 2.91, 2 Se 3.11
Se 0.0000 0.0000 0.0000  4 V 2.42

VASP calculation (PBE) on a relaxed V4SnSe8 crystal.

Summary:
The calculation puts the uncorrected formation energy at -63.42 kJ/mol of atoms. As for the crystal system: monoclinic. Its total energy is -5.915 eV per atom. As for the energy above the most stable polymorph in this dataset: 0.003 eV/atom. As for the density: 5.46 g/cm³.

abc: 11.9116 6.9820 8.8388
angles: 90.00 127.81 90.00
Last column: nearest neighbours and their distance in Å.
Space group C2/m (No. 12)
Unique sites:
V 0.0000 0.1936 0.0000  6 Se 2.44-2.64, 1 V 2.70
V 0.2156 0.0000 0.9933  6 Se 2.43-2.64
Sn 0.0000 0.5000 0.5000  6 Se 2.88-2.94
Se 0.0139 0.5000 0.8366  3 V 2.59-2.64, 1 Sn 2.88
Se 0.0395 0.0000 0.2585  3 V 2.43-2.44
Se 0.2345 0.2468 0.7836  3 V 2.44-2.64

VASP calculation (PBE) on a relaxed V3SnSe crystal.

Summary:
The calculation puts the uncorrected formation energy at 125.34 kJ/mol of atoms. As for the crystal system: cubic. Its total energy is -5.670 eV per atom. As for the energy above the most stable polymorph in this dataset: 0.855 eV/atom. As for the density: 4.46 g/cm³.

abc: 5.0718 5.0718 5.0718
angles: 90.00 90.00 90.00
Last column: nearest neighbours and their distance in Å.
Space group Pm-3m (No. 221)
Unique sites:
V 0.0000 0.0000 0.5000  2 Sn 2.54
Sn 0.0000 0.0000 0.0000  6 V 2.54
Se 0.5000 0.5000 0.5000  12 V 3.59

VASP calculation (PBE) on a relaxed VSnSe3 crystal.

Summary:
The calculation puts the uncorrected formation energy at -47.78 kJ/mol of atoms. As for the crystal system: monoclinic. Its total energy is -5.210 eV per atom. As for the energy above the most stable polymorph in this dataset: 0.000 eV/atom. As for the density: 5.49 g/cm³.

abc: 7.1809 3.6874 9.5560
angles: 90.00 103.80 90.00
Last column: nearest neighbours and their distance in Å.
Space group P2_1/m (No. 11)
Unique sites:
V 0.1014 0.2500 0.1335  5 Se 2.42-2.58
Sn 0.2879 0.2500 0.5372  4 Se 2.75-3.06
Se 0.0360 0.7500 0.3046  2 V 2.58
Se 0.2303 0.7500 0.0001  3 V 2.42-2.54
Se 0.4719 0.2500 0.2975  1 V 2.75, 3 Sn 2.75-2.90

VASP calculation (PBE) on a relaxed VSnSe4 crystal.

Summary:
The calculation puts the uncorrected formation energy at -42.93 kJ/mol of atoms. As for the crystal system: monoclinic. Its total energy is -4.955 eV per atom. As for the density: 5.13 g/cm³.

abc: 14.7120 3.5440 6.6900
angles: 90.00 115.64 90.00
Last column: nearest neighbours and their distance in Å.
Space group C2/m (No. 12)
Unique sites:
V 0.0000 0.0000 0.0000  6 Se 2.51-2.55
Sn 0.0000 0.5000 0.5000  6 Se 2.74-2.76
Se 0.1135 0.5000 0.2628  2 V 2.55, 1 Sn 2.76
Se 0.1184 0.0000 0.8198  1 V 2.51, 2 Sn 2.74

Question: What is the formula in the fourth record?
Answer: U4SnSe7